1.
A plane-wave DFT calculation with PBE was carried out for a relaxed structure of TaBe2Nb.

abc: 5.3582 5.3582 5.3582
angles: 103.88 103.88 121.35
Last column: nearest neighbours and their distance in Å.
Element x y z (fractional)
Ta 0.0000 0.0000 0.0000  4 Be 2.43, 2 Nb 2.62
Ta 0.7500 0.2500 0.5000  4 Be 2.43, 2 Nb 2.62
Be 0.1263 0.1250 0.5013  2 Nb 2.42, 2 Ta 2.43, 2 Be 2.62
Be 0.3750 0.8737 0.9987  2 Nb 2.42, 2 Ta 2.43, 2 Be 2.62
Be 0.6237 0.6250 0.4987  2 Nb 2.42, 2 Ta 2.43, 2 Be 2.62
Be 0.8750 0.3763 0.0013  2 Nb 2.42, 2 Ta 2.43, 2 Be 2.62
Nb 0.2500 0.7500 0.5000  4 Be 2.42, 2 Ta 2.62
Nb 0.5000 0.5000 0.0000  4 Be 2.42, 2 Ta 2.62

Results
energy of formation	0.408	eV/atom
symmetry	I-42d (122)
relative energy among the computed polymorphs	2.29	eV per formula unit

=====

2.
A plane-wave DFT calculation with PBE was carried out for a relaxed structure of TaBeNb2.

abc: 4.2874 4.2874 3.5567
angles: 90.00 90.00 90.00
Last column: nearest neighbours and their distance in Å.
Element x y z (fractional)
Ta 0.0000 0.0000 0.0000  8 Nb 2.79, 4 Be 3.03
Be 0.5000 0.5000 0.0000  8 Nb 2.79, 4 Ta 3.03
Nb 0.0000 0.5000 0.5000  4 Ta 2.79, 4 Be 2.79, 4 Nb 3.03
Nb 0.5000 0.0000 0.5000  4 Ta 2.79, 4 Be 2.79, 4 Nb 3.03

Results
energy of formation	0.079	eV/atom
symmetry	P4/mmm (123)

=====

3.
A plane-wave DFT calculation with PBE was carried out for a relaxed structure of Ta2Be9Nb.

abc: 7.4727 7.4727 7.4727
angles: 35.55 35.55 35.55
Last column: nearest neighbours and their distance in Å.
Element x y z (fractional)
Ta 0.1399 0.1399 0.1399  12 Be 2.59-2.69, 3 Ta 2.86
Ta 0.8601 0.8601 0.8601  12 Be 2.59-2.69, 3 Ta 2.86
Be 0.0752 0.5846 0.5846  7 Be 2.15-2.32
Be 0.3345 0.3345 0.3345  6 Be 2.15-2.16
Be 0.4154 0.4154 0.9248  7 Be 2.15-2.32
Be 0.4154 0.9248 0.4154  7 Be 2.15-2.32
Be 0.5000 0.5000 0.5000  6 Be 2.24
Be 0.5846 0.0752 0.5846  7 Be 2.15-2.32
Be 0.5846 0.5846 0.0752  7 Be 2.15-2.32
Be 0.6655 0.6655 0.6655  6 Be 2.15-2.16
Be 0.9248 0.4154 0.4154  7 Be 2.15-2.32
Nb 0.0000 0.0000 0.0000  18 Be 2.63-2.85, 2 Ta 2.93

Results
energy of formation	-0.260	eV/atom
symmetry	R-3m (166)
relative energy among the computed polymorphs	0.00	eV per formula unit

=====

4.
A plane-wave DFT calculation with PBE was carried out for a relaxed structure of TaBe3Nb.

abc: 11.1481 11.1481 3.6015
angles: 90.00 90.00 164.07
Last column: nearest neighbours and their distance in Å.
Element x y z (fractional)
Ta 0.0714 0.9286 0.7500  12 Be 2.58-2.63
Ta 0.9286 0.0714 0.2500  12 Be 2.58-2.63
Be 0.3323 0.6677 0.2500  2 Be 2.12
Be 0.3828 0.6172 0.7500  3 Be 2.07-2.12
Be 0.4767 0.5233 0.7500  3 Be 2.07
Be 0.5233 0.4767 0.2500  3 Be 2.07
Be 0.6172 0.3828 0.2500  3 Be 2.07-2.12
Be 0.6677 0.3323 0.7500  2 Be 2.12
Nb 0.2097 0.7903 0.2500  7 Be 2.55-2.71
Nb 0.7903 0.2097 0.7500  7 Be 2.55-2.71

Results
energy of formation	-0.170	eV/atom
symmetry	Cmcm (63)
relative energy among the computed polymorphs	0.00	eV per formula unit

=====

5.
A plane-wave DFT calculation with PBE was carried out for a relaxed structure of TaBeNb.

abc: 4.7894 4.7894 4.7894
angles: 139.46 139.46 58.67
Last column: nearest neighbours and their distance in Å.
Element x y z (fractional)
Ta 0.0000 0.0000 0.0000  5 Nb 2.61-2.82, 5 Be 2.68-2.87
Be 0.6560 0.6560 0.0000  5 Ta 2.68-2.87, 5 Nb 2.69-2.86
Nb 0.3129 0.3129 0.0000  5 Ta 2.61-2.82, 5 Be 2.69-2.86

Results
energy of formation	0.070	eV/atom
symmetry	I4mm (107)
relative energy among the computed polymorphs	0.63	eV per formula unit

=====

6.
A plane-wave DFT calculation with PBE was carried out for a relaxed structure of TaBe3Nb.

abc: 4.2506 4.2506 4.2506
angles: 90.00 90.00 90.00
Last column: nearest neighbours and their distance in Å.
Element x y z (fractional)
Ta 0.0000 0.0000 0.0000  6 Be 2.13
Be 0.0000 0.0000 0.5000  2 Ta 2.13
Be 0.0000 0.5000 0.0000  2 Ta 2.13
Be 0.5000 0.0000 0.0000  2 Ta 2.13
Nb 0.5000 0.5000 0.5000  12 Be 3.01

Results
energy of formation	1.372	eV/atom
symmetry	Pm-3m (221)
relative energy among the computed polymorphs	7.71	eV per formula unit

=====

7.
A plane-wave DFT calculation with PBE was carried out for a relaxed structure of TaBe9Nb2.

abc: 7.4818 7.4818 7.4818
angles: 35.51 35.51 35.51
Last column: nearest neighbours and their distance in Å.
Element x y z (fractional)
Ta 0.0000 0.0000 0.0000  18 Be 2.63-2.84, 2 Nb 2.94
Be 0.0750 0.5835 0.5835  7 Be 2.14-2.32
Be 0.3344 0.3344 0.3344  6 Be 2.14-2.15
Be 0.4165 0.4165 0.9250  7 Be 2.14-2.32
Be 0.4165 0.9250 0.4165  7 Be 2.14-2.32
Be 0.5000 0.5000 0.5000  6 Be 2.25
Be 0.5835 0.0750 0.5835  7 Be 2.14-2.32
Be 0.5835 0.5835 0.0750  7 Be 2.14-2.32
Be 0.6656 0.6656 0.6656  6 Be 2.14-2.15
Be 0.9250 0.4165 0.4165  7 Be 2.14-2.32
Nb 0.1400 0.1400 0.1400  12 Be 2.60-2.70, 3 Nb 2.86
Nb 0.8600 0.8600 0.8600  12 Be 2.60-2.70, 3 Nb 2.86

Results
energy of formation	-0.243	eV/atom
symmetry	R-3m (166)
relative energy among the computed polymorphs	0.00	eV per formula unit

=====

8.
A plane-wave DFT calculation with PBE was carried out for a relaxed structure of TaBe10Nb.

abc: 3.3596 4.4168 7.6914
angles: 90.00 90.00 90.00
Last column: nearest neighbours and their distance in Å.
Element x y z (fractional)
Ta 0.0000 0.0000 0.0000  18 Be 2.55-2.77
Be 0.0000 0.0000 0.3318  6 Be 2.11-2.12
Be 0.0000 0.0000 0.6682  6 Be 2.11-2.12
Be 0.0000 0.5000 0.1668  6 Be 2.11
Be 0.0000 0.5000 0.8332  6 Be 2.11
Be 0.5000 0.0000 0.5000  8 Be 2.12-2.23
Be 0.5000 0.2492 0.2483  8 Be 2.11-2.23
Be 0.5000 0.2492 0.7517  8 Be 2.11-2.23
Be 0.5000 0.5000 0.0000  8 Be 2.11-2.21
Be 0.5000 0.7508 0.2483  8 Be 2.11-2.23
Be 0.5000 0.7508 0.7517  8 Be 2.11-2.23
Nb 0.0000 0.5000 0.5000  18 Be 2.56-2.79

Results
energy of formation	-0.203	eV/atom
symmetry	Pmmm (47)